Entry 1:
{
  "formula": "PuFeRu",
  "functional": "PBE",
  "state": "relaxed",
  "ef_mev_per_atom": 93,
  "e_tot_ev_per_fu": -31.79,
  "spacegroup": "No. 156",
  "lattice": [[-2.029, -1.928, -0.769], [1.200, 0.417, -4.211], [1.918, -3.033, 2.544]],
  "species": ["Ru", "Fe", "Pu"],
  "fractional_positions": [[0.385, 0.000, 0.000], [0.944, 0.333, 0.667], [0.671, 0.667, 0.333]]
}


Entry 2:
{
  "formula": "AsPPb2",
  "functional": "PBE",
  "state": "relaxed",
  "ef_mev_per_atom": 311,
  "e_tot_ev_per_fu": -16.23,
  "spacegroup": "No. 12",
  "lattice": [[5.194, -0.017, 0.018], [-5.047, 6.316, -0.046], [0.032, 2.060, 2.973]],
  "species": ["Pb", "Pb", "As", "P"],
  "fractional_positions": [[0.000, 0.000, 0.000], [0.000, 0.500, 0.500], [0.500, 0.500, 0.000], [0.500, 0.000, 0.500]]
}


Entry 3:
{
  "formula": "NaGaSn2Br6",
  "functional": "PBE",
  "state": "relaxed",
  "raw_formation_energy_mev_per_atom": -872,
  "e_tot_ev_per_fu": -31.11,
  "spacegroup": "No. 1",
  "lattice": [[7.756, 0.005, 0.000], [3.882, 6.716, 0.001], [3.879, 2.241, 6.855]],
  "species": ["Br", "Br", "Br", "Br", "Br", "Br", "Sn", "Sn", "Na", "Ga"],
  "fractional_positions": [[0.218, 0.921, 0.238], [0.139, 0.401, 0.742], [0.922, 0.623, 0.238], [0.401, 0.718, 0.742], [0.622, 0.218, 0.238], [0.718, 0.138, 0.742], [0.506, 0.506, 0.482], [0.005, 0.006, 0.983], [0.315, 0.315, 0.054], [0.815, 0.815, 0.556]]
}


Entry 4:
{
  "formula": "InCoW2",
  "functional": "PBE",
  "state": "relaxed",
  "ef_mev_per_atom": 563,
  "e_tot_ev_per_fu": -33.50,
  "spacegroup": "No. 65",
  "lattice": [[-4.764, -1.504, -0.848], [3.038, 0.269, -4.047], [0.763, -2.643, 0.397]],
  "species": ["W", "W", "Co", "In"],
  "fractional_positions": [[0.000, 0.000, 0.000], [0.500, 0.500, 0.000], [0.500, 0.000, 0.500], [0.000, 0.500, 0.500]]
}